Compound: PmNiBiRu
Source: the Alexandria database
Functional: PBE
Structure: optimized geometry

```
PmNiBiRu
1.0
0.000 3.395 3.395
3.395 0.000 3.395
3.395 3.395 0.000
Pm Ni Bi Ru
1 1 1 1
Cartesian
0.000 0.000 0.000
1.697 1.697 1.697
3.395 3.395 3.395
5.092 5.092 5.092
```

Summary:
Total DFT energy (no corrections) ... -5.976 eV/atom
Symmetry ... F-43m
Calculated formation energy ... -0.2 eV per formula unit
Density of states at the Fermi level ... 1.19 states/eV per atom

=====

Compound: TbDy2Mg9
Source: the Alexandria database
Functional: PBE
Structure: optimized geometry

```
TbDy2Mg9
1.0
3.018 1.743 9.698
-3.018 1.743 9.698
0.000 -3.485 9.698
Tb Dy Mg
1 2 9
Cartesian
0.000 0.000 0.000
0.000 0.000 4.157
0.000 0.000 24.938
-1.532 -0.884 12.145
0.000 0.000 9.720
0.000 -1.769 16.949
-1.532 0.884 16.949
0.000 0.000 14.547
1.532 -0.884 12.145
0.000 1.769 12.145
0.000 0.000 19.375
1.532 0.884 16.949
```

Summary:
Total DFT energy (no corrections) ... -2.380 eV/atom
Symmetry ... R-3m
Calculated formation energy ... -0.4 eV per formula unit
Density of states at the Fermi level ... 0.93 states/eV per atom

=====

Compound: TbYAlPd
Source: the Alexandria database
Functional: PBE
Structure: optimized geometry

```
TbYAlPd
1.0
0.000 3.588 3.588
3.588 0.000 3.588
3.588 3.588 0.000
Tb Y Al Pd
1 1 1 1
Cartesian
0.000 0.000 0.000
3.588 3.588 3.588
1.794 1.794 1.794
5.383 5.383 5.383
```

Summary:
Energy above the most stable polymorph in this dataset ... 49.2 meV per atom
Total DFT energy (no corrections) ... -5.585 eV/atom
Symmetry ... F-43m
Calculated formation energy ... -2.3 eV per formula unit
Density of states at the Fermi level ... 0.78 states/eV per atom

=====

Compound: GaSn2Au
Source: the Alexandria database
Functional: PBE
Structure: optimized geometry

```
GaSn2Au
1.0
3.437 0.000 0.000
0.000 3.437 0.000
0.000 0.000 7.835
Ga Sn Au
1 2 1
Cartesian
0.000 0.000 0.000
1.719 1.719 2.113
1.719 1.719 5.722
0.000 0.000 3.917
```

Summary:
Total DFT energy (no corrections) ... -3.590 eV/atom
Symmetry ... P4/mmm
Calculated formation energy ... 0.0 eV per formula unit
Density of states at the Fermi level ... 0.40 states/eV per atom

=====

Compound: HfZn3Re
Source: the Alexandria database
Functional: PBE
Structure: optimized geometry

```
HfZn3Re
1.0
4.684 0.000 0.000
0.000 4.684 0.000
0.000 0.000 4.684
Hf Zn Re
1 3 1
Cartesian
0.000 0.000 0.000
0.000 2.342 2.342
2.342 0.000 2.342
2.342 2.342 0.000
2.342 2.342 2.342
```

Summary:
Energy above the most stable polymorph in this dataset ... 0.0 meV per atom
Total DFT energy (no corrections) ... -4.302 eV/atom
Symmetry ... Pm-3m
Calculated formation energy ... 4.7 eV per formula unit
Density of states at the Fermi level ... 0.81 states/eV per atom

=====

Compound: CeNpPaGe
Source: the Alexandria database
Functional: PBE
Structure: optimized geometry

```
CeNpPaGe
1.0
0.000 3.579 3.579
3.579 0.000 3.579
3.579 3.579 0.000
Ce Np Pa Ge
1 1 1 1
Cartesian
0.000 0.000 0.000
1.790 1.790 1.790
3.579 3.579 3.579
5.369 5.369 5.369
```

Summary:
Total DFT energy (no corrections) ... -8.260 eV/atom
Symmetry ... F-43m
Calculated formation energy ... -0.1 eV per formula unit
Density of states at the Fermi level ... 1.87 states/eV per atom

=====

Compound: RbGa2SiSe
Source: the Alexandria database
Functional: PBE
Structure: optimized geometry

```
RbGa2SiSe
1.0
5.816 0.000 0.000
0.000 5.816 0.000
0.000 0.000 5.846
Rb Ga Si Se
1 2 1 1
Cartesian
0.000 0.000 0.000
0.000 2.908 0.000
2.908 0.000 0.000
2.908 2.908 2.923
0.000 0.000 2.923
```

Summary:
Total DFT energy (no corrections) ... -1.888 eV/atom
Symmetry ... P4/mmm
ΔE_f (raw) ... 1.297 eV/atom
Density of states at the Fermi level ... 1.15 states/eV per atom

=====

Compound: YSc2Ni
Source: the Alexandria database
Functional: PBE
Structure: optimized geometry

```
YSc2Ni
1.0
2.174 1.255 5.747
-2.174 1.255 5.747
0.000 -2.511 5.747
Y Sc Ni
1 2 1
Cartesian
0.000 0.000 0.000
0.000 0.000 3.667
0.000 0.000 7.765
0.000 0.000 14.182
```

Summary:
Energy above the most stable polymorph in this dataset ... 189.4 meV per atom
Total DFT energy (no corrections) ... -6.292 eV/atom
Symmetry ... R3m
Calculated formation energy ... -0.3 eV per formula unit
Density of states at the Fermi level ... 0.95 states/eV per atom